First-principles (PBE) data for a relaxed structure of Mn2NiP, as listed in Alexandria.

DFT formation energy, eV/atom: -0.118
Symmetry: Pmm2
Total moment, μB per formula unit: 0.530

```
Mn2NiP
1.0
2.6794 0.0000 0.0000
0.0000 3.4416 0.0000
0.0000 0.0000 4.9550
Mn Ni P
2 1 1
Cartesian
0.0000 0.0000 0.0000
1.3397 1.7208 1.2102
0.0000 0.0000 2.4917
1.3397 1.7208 3.6528
```


First-principles (PBE) data for a relaxed structure of K2CuSb, as listed in Alexandria.

Symmetry: I-42d
Formation energy (no corrections), eV/atom: -0.16
Total moment, μB per formula unit: 0.000

```
K2CuSb
1.0
-6.3935 6.3935 2.4077
6.3935 -6.3935 2.4077
6.3935 6.3935 -2.4077
K Cu Sb
4 2 2
Cartesian
0.0288 3.1968 0.6019
-3.1968 6.3647 1.8058
-0.0288 9.5903 0.6019
3.1968 6.4224 1.8058
0.0000 0.0000 0.0000
0.0000 6.3935 1.2038
6.3935 0.0000 1.2038
0.0000 0.0000 2.4077
```


First-principles (PBE) data for a relaxed structure of BaCa2LaGe, as listed in Alexandria.

DFT formation energy, eV/atom: -0.183
Symmetry: P4/mmm
Total moment, μB per formula unit: 0.005

```
BaCa2LaGe
1.0
5.9071 0.0000 0.0000
0.0000 5.9071 0.0000
0.0000 0.0000 6.0454
Ba Ca La Ge
1 2 1 1
Cartesian
0.0000 0.0000 0.0000
0.0000 2.9535 3.0227
2.9535 0.0000 3.0227
2.9535 2.9535 0.0000
2.9535 2.9535 3.0227
```


First-principles (PBE) data for a relaxed structure of TaMo2CSe, as listed in Alexandria.

Symmetry: P4/mmm
Formation energy (no corrections), eV/atom: 1.77
Total moment, μB per formula unit: 0.669

```
TaMo2CSe
1.0
4.7624 0.0000 0.0000
0.0000 4.7624 0.0000
0.0000 0.0000 3.7558
Ta Mo C Se
1 2 1 1
Cartesian
0.0000 0.0000 0.0000
0.0000 2.3812 1.8779
2.3812 0.0000 1.8779
2.3812 2.3812 0.0000
2.3812 2.3812 1.8779
```


First-principles (PBE) data for a relaxed structure of InSn3Os, as listed in Alexandria.

DFT formation energy, eV/atom: 0.303
Energy above the most stable polymorph in this dataset, meV/atom: 0
Symmetry: Pm-3m
Total moment, μB per formula unit: 0.000

```
InSn3Os
1.0
5.1861 0.0000 0.0000
0.0000 5.1861 0.0000
0.0000 0.0000 5.1861
In Sn Os
1 3 1
Cartesian
0.0000 0.0000 0.0000
0.0000 2.5930 2.5930
2.5930 0.0000 2.5930
2.5930 2.5930 0.0000
2.5930 2.5930 2.5930
```


First-principles (PBE) data for a relaxed structure of CeNd3Ho7, as listed in Alexandria.

DFT formation energy, eV/atom: 0.192
Symmetry: P3m1
Total moment, μB per formula unit: 0.883

```
CeNd3Ho7
1.0
7.0381 0.0000 0.0000
-3.5191 6.0952 0.0000
0.0000 0.0000 8.6882
Ce Nd Ho
1 3 7
Cartesian
0.0000 0.0000 0.0000
0.0000 2.0121 5.7708
-1.7766 5.0892 5.7708
1.7766 5.0892 5.7708
-1.7562 3.0495 8.6810
1.7403 1.0048 2.8059
0.0000 4.0635 2.8022
1.7562 3.0495 8.6810
0.0000 6.0913 8.6810
5.2978 1.0048 2.8059
3.5191 4.0857 2.8059
```


First-principles (PBE) data for a relaxed structure of CdPt6Rh2, as listed in Alexandria.

DFT formation energy, eV/atom: 0.063
Symmetry: C2/c
Total moment, μB per formula unit: 0.000

```
CdPt6Rh2
1.0
8.3454 -3.4649 0.0000
8.3454 3.4649 0.0000
-0.7570 0.0000 5.1325
Cd Pt Rh
2 12 4
Cartesian
7.7776 2.4563 3.8494
8.1561 -2.4563 1.2831
6.3742 2.4115 0.5149
5.1099 1.9734 2.9124
9.9381 2.4115 2.0513
10.4453 1.9734 4.7863
6.8157 0.0703 1.8407
6.4372 -0.0703 4.4069
9.4965 0.0703 0.7256
9.1180 -0.0703 3.2918
5.4884 -1.9734 0.3461
5.9957 -2.4115 3.0811
10.8238 -1.9734 2.2201
9.5596 -2.4115 4.6176
4.4232 0.5136 0.5436
4.0448 -0.5136 3.1098
11.8890 0.5136 2.0227
11.5105 -0.5136 4.5889
```


First-principles (PBE) data for a relaxed structure of CsNb4Au2, as listed in Alexandria.

DFT formation energy, eV/atom: 2.009
Symmetry: I4/mmm
Total moment, μB per formula unit: 3.086

```
CsNb4Au2
1.0
-2.5298 2.5298 6.6931
2.5298 -2.5298 6.6931
2.5298 2.5298 -6.6931
Cs Nb Au
1 4 2
Cartesian
0.0000 0.0000 0.0000
2.5298 0.0000 0.0000
0.0000 0.0000 2.6449
0.0000 2.5298 0.0000
0.0000 0.0000 10.7414
0.0000 0.0000 5.2524
0.0000 0.0000 8.1339
```


First-principles (PBE) data for a relaxed structure of RbNaI2N, as listed in Alexandria.

Energy above the most stable polymorph in this dataset, meV/atom: 611
Symmetry: P4/mmm
Formation energy (no corrections), eV/atom: 0.57
Total moment, μB per formula unit: 3.000

```
RbNaI2N
1.0
6.7886 0.0000 0.0000
0.0000 6.7886 0.0000
0.0000 0.0000 6.8872
Rb Na I N
1 1 2 1
Cartesian
0.0000 0.0000 0.0000
0.0000 0.0000 3.4436
0.0000 3.3943 0.0000
3.3943 0.0000 0.0000
3.3943 3.3943 3.4436
```


First-principles (PBE) data for a relaxed structure of ReIr2F, as listed in Alexandria.

Energy above the most stable polymorph in this dataset, meV/atom: 0
Symmetry: Fm-3m
Formation energy (no corrections), eV/atom: 0.22
Total moment, μB per formula unit: 0.000

```
ReIr2F
1.0
0.0000 3.0271 3.0271
3.0271 0.0000 3.0271
3.0271 3.0271 0.0000
Re Ir F
1 2 1
Cartesian
0.0000 0.0000 0.0000
1.5136 1.5136 1.5136
4.5407 4.5407 4.5407
3.0271 3.0271 3.0271
```


First-principles (PBE) data for a relaxed structure of Li2Pu3ScSe6, as listed in Alexandria.

Symmetry: C2/m
Formation energy (no corrections), eV/atom: -1.49
Total moment, μB per formula unit: 16.763

```
Li2Pu3ScSe6
1.0
8.7536 -2.0369 0.0000
8.7536 2.0369 0.0000
-1.5863 0.0000 7.8625
Li Pu Sc Se
2 3 1 6
Cartesian
2.4559 0.0000 2.7031
13.4650 0.0000 5.1594
1.6598 0.0000 6.5173
7.9604 0.0000 3.9313
14.2610 0.0000 1.3452
8.7536 0.0000 0.0000
-0.3526 0.0000 1.8660
5.1302 0.0000 3.3473
4.4980 0.0000 7.1910
11.4228 0.0000 0.6716
10.7906 0.0000 4.5152
16.2734 0.0000 5.9965
```


First-principles (PBE) data for a relaxed structure of Cd2Ni2Sb, as listed in Alexandria.

Energy above the most stable polymorph in this dataset, meV/atom: 202
Symmetry: P4/mbm
Formation energy (no corrections), eV/atom: 0.21
Total moment, μB per formula unit: 0.000

```
Cd2Ni2Sb
1.0
7.8194 0.0000 0.0000
0.0000 7.8194 0.0000
0.0000 0.0000 2.9435
Cd Ni Sb
4 4 2
Cartesian
1.0167 2.8930 0.0000
2.8930 6.8027 0.0000
4.9264 1.0167 0.0000
6.8027 4.9264 0.0000
1.3043 5.2140 1.4718
2.6054 1.3043 1.4718
5.2140 6.5151 1.4718
6.5151 2.6054 1.4718
0.0000 0.0000 0.0000
3.9097 3.9097 0.0000
```


First-principles (PBE) data for a relaxed structure of CeHf2Mo, as listed in Alexandria.

DFT formation energy, eV/atom: 0.257
Energy above the most stable polymorph in this dataset, meV/atom: 213
Symmetry: R-3m
Total moment, μB per formula unit: 0.000

```
CeHf2Mo
1.0
1.5828 0.9138 10.2716
-1.5828 0.9138 10.2716
0.0000 -1.8277 10.2716
Ce Hf Mo
1 2 1
Cartesian
0.0000 0.0000 0.0000
0.0000 0.0000 3.0670
0.0000 0.0000 27.7479
0.0000 0.0000 15.4075
```


First-principles (PBE) data for a relaxed structure of MgAg3I, as listed in Alexandria.

Energy above the most stable polymorph in this dataset, meV/atom: 0
Symmetry: Pm-3m
Formation energy (no corrections), eV/atom: 0.52
Total moment, μB per formula unit: 0.000

```
MgAg3I
1.0
5.1604 0.0000 0.0000
0.0000 5.1604 0.0000
0.0000 0.0000 5.1604
Mg Ag I
1 3 1
Cartesian
0.0000 0.0000 0.0000
0.0000 0.0000 2.5802
0.0000 2.5802 0.0000
2.5802 0.0000 0.0000
2.5802 2.5802 2.5802
```


First-principles (PBE) data for a relaxed structure of K3U3CuS8, as listed in Alexandria.

Symmetry: C2/m
Formation energy (no corrections), eV/atom: -1.23
Total moment, μB per formula unit: 6.000

```
K3U3CuS8
1.0
6.8118 -3.9395 0.0000
6.8118 3.9395 0.0000
-4.5383 0.0000 7.4993
K U Cu S
3 3 1 8
Cartesian
0.0000 0.0000 0.0000
3.4059 1.9697 0.0000
3.4059 -1.9697 0.0000
1.1367 1.9697 3.7497
1.1367 -1.9697 3.7497
4.5426 0.0000 3.7497
-2.2692 0.0000 3.7497
0.0040 0.0000 5.1817
3.4001 1.9547 5.1908
2.2704 0.0000 2.2113
5.6851 1.9547 2.3086
3.4001 -1.9547 5.1908
6.8148 0.0000 5.2880
5.6851 -1.9547 2.3086
9.0812 0.0000 2.3177
```


First-principles (PBE) data for a relaxed structure of PrMgTlNi, as listed in Alexandria.

DFT formation energy, eV/atom: -0.134
Symmetry: F-43m
Total moment, μB per formula unit: 0.000

```
PrMgTlNi
1.0
0.0000 3.5705 3.5705
3.5705 0.0000 3.5705
3.5705 3.5705 0.0000
Pr Mg Tl Ni
1 1 1 1
Cartesian
0.0000 0.0000 0.0000
3.5705 3.5705 3.5705
1.7852 1.7852 1.7852
5.3557 5.3557 5.3557
```


First-principles (PBE) data for a relaxed structure of BaTaCo2, as listed in Alexandria.

DFT formation energy, eV/atom: 1.137
Energy above the most stable polymorph in this dataset, meV/atom: 871
Symmetry: I-4m2
Total moment, μB per formula unit: 0.550

```
BaTaCo2
1.0
-1.9026 1.9026 5.0891
1.9026 -1.9026 5.0891
1.9026 1.9026 -5.0891
Ba Ta Co
1 1 2
Cartesian
0.0000 0.0000 0.0000
0.0000 1.9026 2.5446
1.9026 0.0000 2.5446
0.0000 0.0000 5.0891
```


First-principles (PBE) data for a relaxed structure of Sr2TlBi, as listed in Alexandria.

DFT formation energy, eV/atom: -0.368
Energy above the most stable polymorph in this dataset, meV/atom: 257
Symmetry: I-42d
Total moment, μB per formula unit: 0.000

```
Sr2TlBi
1.0
-4.5266 4.5266 3.8654
4.5266 -4.5266 3.8654
4.5266 4.5266 -3.8654
Sr Tl Bi
4 2 2
Cartesian
6.7899 2.1910 -0.9663
2.1910 2.2633 0.9663
-2.2633 2.3356 2.8990
2.3356 2.2633 4.8317
4.5266 0.0000 1.9327
0.0000 0.0000 3.8654
0.0000 0.0000 0.0000
0.0000 4.5266 1.9327
```


First-principles (PBE) data for a relaxed structure of LaAl2Zn, as listed in Alexandria.

DFT formation energy, eV/atom: -0.072
Symmetry: Immm
Total moment, μB per formula unit: 0.000

```
LaAl2Zn
1.0
-1.7549 2.4444 5.1701
1.7549 -2.4444 5.1701
1.7549 2.4444 -5.1701
La Al Zn
1 2 1
Cartesian
0.0000 0.0000 0.0000
1.7549 0.0000 2.8626
0.0000 2.4444 2.3075
0.0000 0.0000 5.1701
```


First-principles (PBE) data for a relaxed structure of Nd2YErTm5, as listed in Alexandria.

DFT formation energy, eV/atom: 0.272
Symmetry: I4/mcm
Total moment, μB per formula unit: 0.000

```
Nd2YErTm5
1.0
-4.2921 4.2921 7.7483
4.2921 -4.2921 7.7483
4.2921 4.2921 -7.7483
Nd Y Er Tm
4 2 2 10
Cartesian
5.3010 1.0089 0.0000
1.0089 3.2833 0.0000
3.2833 1.0089 7.7483
-1.0089 3.2833 7.7483
0.0000 0.0000 3.8741
0.0000 0.0000 11.6224
4.2921 0.0000 3.8741
0.0000 4.2921 3.8741
0.0000 0.0000 0.0000
2.4664 1.8258 -2.1720
2.4664 -1.8258 5.5762
2.4664 1.8258 2.1720
2.4664 -1.8258 9.9203
0.0000 0.0000 7.7483
1.8258 6.1179 -2.1720
1.8258 2.4664 5.5762
1.8258 6.1179 2.1720
1.8258 2.4664 9.9203
```


no.,V (Å³ per atom)
1,11.4
2,49.2
3,42.2
4,17.0
5,27.9
6,33.9
7,16.5
8,24.5
9,63.5
10,13.9
11,23.4
12,18.0
13,22.3
14,27.5
15,26.8
16,22.8
17,18.4
18,39.6
19,22.2
20,31.7